# Eu2TmCd

A relaxed structure of Eu2TmCd (PBE, Alexandria via LeMat-Bulk).

Output
* polymorph energy (0 for the lowest one): 0.00 eV/f.u.
* size of the total moment: 15.5 μB per formula unit
* DOS at the Fermi energy: 3.85 states/eV per cell
* energy of formation from the pure elements: -8 kJ/mol of atoms

a = 3.7804 Å, b = 3.7804 Å, c = 9.2365 Å
α = 90.00°, β = 90.00°, γ = 90.00°
Closest atoms and distances in Å follow each position.
Space group P4/mmm (No. 123)
Unique sites:
Eu 0.0000 0.0000 0.2230 (multiplicity 2)  4 Cd 3.37, 4 Tm 3.70
Tm 0.5000 0.5000 0.5000 (multiplicity 1)  8 Eu 3.70, 4 Tm 3.78
Cd 0.5000 0.5000 0.0000 (multiplicity 1)  8 Eu 3.37